Entry 1:
Compound: Dy2Cu2GeRh5
Source: the Alexandria database
Functional: PBE
Structure: relaxed

a = 9.3443 Å, b = 9.3443 Å, c = 3.7269 Å
α = 90.00°, β = 90.00°, γ = 90.00°
Element x y z (fractional)
Dy1 0.1732 0.3268 0.0000
Dy2 0.3268 0.8268 0.0000
Dy3 0.6732 0.1732 0.0000
Dy4 0.8268 0.6732 0.0000
Cu1 0.1251 0.6251 0.0000
Cu2 0.3749 0.1251 0.0000
Cu3 0.6251 0.8749 0.0000
Cu4 0.8749 0.3749 0.0000
Ge1 0.0000 0.0000 0.0000
Ge2 0.5000 0.5000 0.0000
Rh1 0.0000 0.5000 0.5000
Rh2 0.0665 0.7994 0.5000
Rh3 0.2006 0.0665 0.5000
Rh4 0.2994 0.5665 0.5000
Rh5 0.4335 0.2994 0.5000
Rh6 0.5000 0.0000 0.5000
Rh7 0.5665 0.7006 0.5000
Rh8 0.7006 0.4335 0.5000
Rh9 0.7994 0.9335 0.5000
Rh10 0.9335 0.2006 0.5000

## Properties
As for the total energy: -6.386 eV/atom. The calculation puts the magnetic moment at 0.000 μB/f.u. Its formation enthalpy at 0 K is -49.1 kJ per mole of atoms.

Entry 2:
Compound: LiPuAlNi
Source: the Alexandria database
Functional: PBE
Structure: relaxed

a = 4.5451 Å, b = 4.5451 Å, c = 4.5451 Å
α = 60.00°, β = 60.00°, γ = 60.00°
Element x y z (fractional)
Li1 0.0000 0.0000 0.0000
Pu1 0.2500 0.2500 0.2500
Al1 0.7500 0.7500 0.7500
Ni1 0.5000 0.5000 0.5000

## Properties
As for the total energy: -6.555 eV/atom. The calculation puts the magnetic moment at 4.814 μB/f.u. Its formation enthalpy at 0 K is -10.9 kJ per mole of atoms.

Entry 3:
Compound: SmErPu2Bi4
Source: the Alexandria database
Functional: PBE
Structure: relaxed

a = 7.8120 Å, b = 4.5280 Å, c = 7.8584 Å
α = 90.00°, β = 109.39°, γ = 90.00°
Element x y z (fractional)
Sm1 0.0000 0.0000 0.0000
Er1 0.0000 0.5000 0.5000
Pu1 0.5000 0.0000 0.5000
Pu2 0.5000 0.5000 0.0000
Bi1 0.2469 0.0000 0.7456
Bi2 0.2497 0.5000 0.2538
Bi3 0.7503 0.5000 0.7462
Bi4 0.7531 0.0000 0.2544

## Properties
As for the total energy: -7.264 eV/atom. The calculation puts the magnetic moment at 0.029 μB/f.u. Its formation enthalpy at 0 K is -56.0 kJ per mole of atoms.

Entry 4:
Compound: ReSiW2
Source: the Alexandria database
Functional: PBE
Structure: relaxed

a = 2.8323 Å, b = 4.3795 Å, c = 5.0522 Å
α = 90.00°, β = 103.44°, γ = 90.00°
Element x y z (fractional)
Re1 0.0000 0.0000 0.0000
Si1 0.0045 0.5000 0.2554
W1 0.3388 0.5000 0.7774
W2 0.5135 0.0000 0.4887

## Properties
As for the formation energy from raw total energies: 70 meV/atom. As for the total energy: -10.874 eV/atom. The calculation puts the magnetic moment at 0.000 μB/f.u.

Entry 5:
Compound: PPtSeCl2
Source: the Alexandria database
Functional: PBE
Structure: relaxed

a = 4.6613 Å, b = 4.6613 Å, c = 5.3277 Å
α = 90.00°, β = 90.00°, γ = 90.00°
Element x y z (fractional)
P1 0.0000 0.0000 0.0000
Pt1 0.5000 0.5000 0.0000
Se1 0.0000 0.0000 0.5000
Cl1 0.0000 0.5000 0.5000
Cl2 0.5000 0.0000 0.5000

## Properties
As for the formation energy from raw total energies: 1004 meV/atom. As for the total energy: -2.722 eV/atom. The calculation puts the magnetic moment at 0.534 μB/f.u. Its relative energy among the computed polymorphs is 0.566 eV/atom.

Entry 6:
Compound: TiMn6
Source: the Alexandria database
Functional: PBE
Structure: relaxed

a = 5.1827 Å, b = 5.1827 Å, c = 5.1827 Å
α = 109.47°, β = 109.47°, γ = 109.47°
Element x y z (fractional)
Ti1 0.0000 0.0000 0.0000
Mn1 0.2500 0.5000 0.7500
Mn2 0.2500 0.7500 0.5000
Mn3 0.5000 0.2500 0.7500
Mn4 0.5000 0.7500 0.2500
Mn5 0.7500 0.2500 0.5000
Mn6 0.7500 0.5000 0.2500

## Properties
As for the total energy: -7.914 eV/atom. The calculation puts the magnetic moment at 1.061 μB/f.u. Its formation enthalpy at 0 K is 103.5 kJ per mole of atoms. Its relative energy among the computed polymorphs is 1.095 eV/atom.

Q: Which formula does entry 6 have?
A: TiMn6

Q: Among the records above, which one has the highest magnetic moment?
A: LiPuAlNi